(1)
Here is KHg3H after structural relaxation from Alexandria via LeMat-Bulk. Energies are from PBE.

Output
The total magnetic moment is 0.0 μB/f.u. As for the relative energy among the computed polymorphs: 90 meV per atom.

```
data_KHg3H
_chemical_formula_sum 'K2 Hg6 H2'
_space_group_name_H-M_alt 'P 1'
_space_group_IT_number 1
_space_group_name_Hall 'P 1'
_cell_length_a 5.502
_cell_length_b 5.806
_cell_length_c 9.299
_cell_angle_alpha 86.12
_cell_angle_beta 73.23
_cell_angle_gamma 66.69
loop_
_atom_site_label
_atom_site_fract_x
_atom_site_fract_y
_atom_site_fract_z
K1 0.000 0.000 0.000
K2 0.102 0.314 0.389
Hg1 0.268 0.757 0.577
Hg2 0.351 0.383 0.028
Hg3 0.434 0.220 0.712
Hg4 0.520 0.674 0.200
Hg5 0.747 0.597 0.771
Hg6 0.768 0.935 0.399
H1 0.440 0.032 0.111
H2 0.944 0.518 0.112
```

(2)
Here is KHgH after structural relaxation from Alexandria via LeMat-Bulk. Energies are from PBE.

Output
The total magnetic moment is 0.0 μB/f.u. As for the relative energy among the computed polymorphs: 0 meV per atom.

```
data_KHgH
_chemical_formula_sum 'K4 Hg4 H4'
_space_group_name_H-M_alt 'C 1 2/m 1'
_space_group_IT_number 12
_space_group_name_Hall '-C 2y'
_cell_length_a 9.347
_cell_length_b 5.353
_cell_length_c 8.437
_cell_angle_alpha 90.00
_cell_angle_beta 110.38
_cell_angle_gamma 90.00
loop_
_atom_site_label
_atom_site_fract_x
_atom_site_fract_y
_atom_site_fract_z
K1 0.079 0.000 0.249
Hg1 0.166 0.500 0.998
H1 0.020 0.500 0.548
```

(3)
Here is K2Hg2H after structural relaxation from Alexandria via LeMat-Bulk. Energies are from PBE.

Output
The total magnetic moment is 0.0 μB/f.u. As for the relative energy among the computed polymorphs: 112 meV per atom.

```
data_K2Hg2H
_chemical_formula_sum 'K4 Hg4 H2'
_space_group_name_H-M_alt 'I 4/m m m'
_space_group_IT_number 139
_space_group_name_Hall '-I 4 2'
_cell_length_a 6.848
_cell_length_b 6.848
_cell_length_c 7.084
_cell_angle_alpha 90.00
_cell_angle_beta 90.00
_cell_angle_gamma 90.00
loop_
_atom_site_label
_atom_site_fract_x
_atom_site_fract_y
_atom_site_fract_z
K1 0.000 0.500 0.250
Hg1 0.000 0.000 0.212
H1 0.000 0.000 0.500
```

Please write out number 1 again, unchanged.
Here is KHg3H after structural relaxation from Alexandria via LeMat-Bulk. Energies are from PBE.

Output
The total magnetic moment is 0.0 μB/f.u. As for the relative energy among the computed polymorphs: 90 meV per atom.

```
data_KHg3H
_chemical_formula_sum 'K2 Hg6 H2'
_space_group_name_H-M_alt 'P 1'
_space_group_IT_number 1
_space_group_name_Hall 'P 1'
_cell_length_a 5.502
_cell_length_b 5.806
_cell_length_c 9.299
_cell_angle_alpha 86.12
_cell_angle_beta 73.23
_cell_angle_gamma 66.69
loop_
_atom_site_label
_atom_site_fract_x
_atom_site_fract_y
_atom_site_fract_z
K1 0.000 0.000 0.000
K2 0.102 0.314 0.389
Hg1 0.268 0.757 0.577
Hg2 0.351 0.383 0.028
Hg3 0.434 0.220 0.712
Hg4 0.520 0.674 0.200
Hg5 0.747 0.597 0.771
Hg6 0.768 0.935 0.399
H1 0.440 0.032 0.111
H2 0.944 0.518 0.112
```